Entry 1:
A plane-wave DFT calculation with PBE was carried out for a relaxed structure of EuPuRh4.

For the calculated volume, the calculation gives 438 Å³/cell.

The structure belongs to space group F-43m (No. 216); the cell edges are 7.5933, 7.5933 and 7.5933 Å and the angles 90.00°, 90.00° and 90.00°. The inequivalent atoms are Eu at (0.0000, 0.0000, 0.0000), Pu at (0.2500, 0.2500, 0.7500) and Rh at (0.1248, 0.1248, 0.3752).

Entry 2:
A plane-wave DFT calculation with PBE was carried out for a relaxed structure of EuPuRh2.

The distance to the lowest polymorph of the same formula comes out at 0 meV/atom. For the calculated volume, the calculation gives 84 Å³/cell.

The structure belongs to space group P4/mmm (No. 123); the cell edges are 3.3966, 3.3966 and 7.3144 Å and the angles 90.00°, 90.00° and 90.00°. The inequivalent atoms are Eu at (0.0000, 0.0000, 0.0000), Pu at (0.0000, 0.0000, 0.5000) and Rh at (0.5000, 0.5000, 0.2825).

Entry 3:
A plane-wave DFT calculation with PBE was carried out for a relaxed structure of EuPuRh.

The distance to the lowest polymorph of the same formula comes out at 104 meV/atom. For the calculated volume, the calculation gives 327 Å³/cell.

The structure belongs to space group F-43m (No. 216); the cell edges are 6.8888, 6.8888 and 6.8888 Å and the angles 90.00°, 90.00° and 90.00°. The inequivalent atoms are Eu at (0.0000, 0.0000, 0.0000), Pu at (0.0000, 0.0000, 0.5000) and Rh at (0.2500, 0.2500, 0.7500).

Here are the calculated ΔE_f numbers, same order: -0.46, -0.41, -0.14 (eV/atom).